Record 1
The following is a PBE calculation of MgFeAs2 after structural relaxation, from Alexandria.

CIF file:
```
data_MgFeAs2
_chemical_formula_sum 'Mg1 Fe1 As2'
_symmetry_space_group_name_H-M 'P 1'
_symmetry_Int_Tables_number 1
_symmetry_space_group_name_Hall 'P 1'
_cell_length_a 2.9298
_cell_length_b 2.9298
_cell_length_c 7.9117
_cell_angle_alpha 90.00
_cell_angle_beta 90.00
_cell_angle_gamma 90.00
loop_
_atom_site_label
_atom_site_type_symbol
_atom_site_fract_x
_atom_site_fract_y
_atom_site_fract_z
_atom_site_occupancy
Mg1 Mg 0.0000 0.0000 0.0000 1
Fe1 Fe 0.5000 0.5000 0.7714 1
As1 As 0.0000 0.0000 0.6213 1
As2 As 0.5000 0.5000 0.2612 1
```

Calculated values
For the calculated formation energy, the calculation gives 0.1 kJ per mole of atoms. Its total DFT energy (no corrections) is -19.35 eV/cell. As for the polymorph energy (0 for the lowest one): 151 meV/atom. Its space group is P4mm, No. 99.

=====

Record 2
The following is a PBE calculation of MgFeAs2 after structural relaxation, from Alexandria.

CIF file:
```
data_MgFeAs2
_chemical_formula_sum 'Mg1 Fe1 As2'
_symmetry_space_group_name_H-M 'P 1'
_symmetry_Int_Tables_number 1
_symmetry_space_group_name_Hall 'P 1'
_cell_length_a 3.0659
_cell_length_b 3.0659
_cell_length_c 6.9355
_cell_angle_alpha 90.00
_cell_angle_beta 90.00
_cell_angle_gamma 90.00
loop_
_atom_site_label
_atom_site_type_symbol
_atom_site_fract_x
_atom_site_fract_y
_atom_site_fract_z
_atom_site_occupancy
Mg1 Mg 0.0000 0.0000 0.0000 1
Fe1 Fe 0.0000 0.0000 0.5000 1
As1 As 0.5000 0.5000 0.2928 1
As2 As 0.5000 0.5000 0.7072 1
```

Calculated values
For the calculated formation energy, the calculation gives -4.8 kJ per mole of atoms. Its total DFT energy (no corrections) is -19.56 eV/cell. As for the polymorph energy (0 for the lowest one): 101 meV/atom. Its space group is P4/mmm, No. 123.

=====

Record 3
The following is a PBE calculation of MgFeAs2 after structural relaxation, from Alexandria.

CIF file:
```
data_MgFeAs2
_chemical_formula_sum 'Mg2 Fe2 As4'
_symmetry_space_group_name_H-M 'P 1'
_symmetry_Int_Tables_number 1
_symmetry_space_group_name_Hall 'P 1'
_cell_length_a 6.7340
_cell_length_b 6.7340
_cell_length_c 6.7340
_cell_angle_alpha 128.87
_cell_angle_beta 128.87
_cell_angle_gamma 75.22
loop_
_atom_site_label
_atom_site_type_symbol
_atom_site_fract_x
_atom_site_fract_y
_atom_site_fract_z
_atom_site_occupancy
Mg1 Mg 0.0000 0.0000 0.0000 1
Mg2 Mg 0.7500 0.2500 0.5000 1
Fe1 Fe 0.2500 0.7500 0.5000 1
Fe2 Fe 0.5000 0.5000 0.0000 1
As1 As 0.1883 0.6250 0.0633 1
As2 As 0.3750 0.4383 0.5633 1
As3 As 0.5617 0.1250 0.9367 1
As4 As 0.8750 0.8117 0.4367 1
```

Calculated values
For the calculated formation energy, the calculation gives 1.9 kJ per mole of atoms. Its total DFT energy (no corrections) is -38.56 eV/cell. As for the polymorph energy (0 for the lowest one): 169 meV/atom. Its space group is I-42d, No. 122.

=====

Record 4
The following is a PBE calculation of MgFeAs2 after structural relaxation, from Alexandria.

CIF file:
```
data_MgFeAs2
_chemical_formula_sum 'Mg1 Fe1 As2'
_symmetry_space_group_name_H-M 'P 1'
_symmetry_Int_Tables_number 1
_symmetry_space_group_name_Hall 'P 1'
_cell_length_a 4.6891
_cell_length_b 4.6891
_cell_length_c 4.6891
_cell_angle_alpha 131.97
_cell_angle_beta 116.09
_cell_angle_gamma 83.77
loop_
_atom_site_label
_atom_site_type_symbol
_atom_site_fract_x
_atom_site_fract_y
_atom_site_fract_z
_atom_site_occupancy
Mg1 Mg 0.0000 0.0000 0.0000 1
Fe1 Fe 0.5000 0.5000 0.0000 1
As1 As 0.2823 0.7823 0.5000 1
As2 As 0.7177 0.2177 0.5000 1
```

Calculated values
For the calculated formation energy, the calculation gives 4.9 kJ per mole of atoms. Its total DFT energy (no corrections) is -19.15 eV/cell. As for the polymorph energy (0 for the lowest one): 201 meV/atom. Its space group is Immm, No. 71.

=====

Record 5
The following is a PBE calculation of MgFeAs2 after structural relaxation, from Alexandria.

CIF file:
```
data_MgFeAs2
_chemical_formula_sum 'Mg1 Fe1 As2'
_symmetry_space_group_name_H-M 'P 1'
_symmetry_Int_Tables_number 1
_symmetry_space_group_name_Hall 'P 1'
_cell_length_a 7.0217
_cell_length_b 7.0217
_cell_length_c 7.0217
_cell_angle_alpha 28.59
_cell_angle_beta 28.59
_cell_angle_gamma 28.59
loop_
_atom_site_label
_atom_site_type_symbol
_atom_site_fract_x
_atom_site_fract_y
_atom_site_fract_z
_atom_site_occupancy
Mg1 Mg 0.0000 0.0000 0.0000 1
Fe1 Fe 0.5000 0.5000 0.5000 1
As1 As 0.2363 0.2363 0.2363 1
As2 As 0.7637 0.7637 0.7637 1
```

Calculated values
For the calculated formation energy, the calculation gives -14.5 kJ per mole of atoms. Its total DFT energy (no corrections) is -19.96 eV/cell. As for the polymorph energy (0 for the lowest one): 0 meV/atom. Its space group is R-3m, No. 166.

=====

Record 6
The following is a PBE calculation of MgFeAs2 after structural relaxation, from Alexandria.

CIF file:
```
data_MgFeAs2
_chemical_formula_sum 'Mg1 Fe1 As2'
_symmetry_space_group_name_H-M 'P 1'
_symmetry_Int_Tables_number 1
_symmetry_space_group_name_Hall 'P 1'
_cell_length_a 3.6626
_cell_length_b 7.0218
_cell_length_c 7.0218
_cell_angle_alpha 24.31
_cell_angle_beta 90.00
_cell_angle_gamma 90.00
loop_
_atom_site_label
_atom_site_type_symbol
_atom_site_fract_x
_atom_site_fract_y
_atom_site_fract_z
_atom_site_occupancy
Mg1 Mg 0.0000 0.0000 0.0000 1
Fe1 Fe 0.5000 0.7623 0.7623 1
As1 As 0.0000 0.1934 0.1934 1
As2 As 0.5000 0.4022 0.4022 1
```

Calculated values
For the calculated formation energy, the calculation gives -9.8 kJ per mole of atoms. Its total DFT energy (no corrections) is -19.76 eV/cell. As for the polymorph energy (0 for the lowest one): 49 meV/atom. Its space group is Amm2, No. 38.

=====

Record 7
The following is a PBE calculation of MgFeAs2 after structural relaxation, from Alexandria.

CIF file:
```
data_MgFeAs2
_chemical_formula_sum 'Mg1 Fe1 As2'
_symmetry_space_group_name_H-M 'P 1'
_symmetry_Int_Tables_number 1
_symmetry_space_group_name_Hall 'P 1'
_cell_length_a 4.5938
_cell_length_b 4.5938
_cell_length_c 4.5938
_cell_angle_alpha 60.00
_cell_angle_beta 60.00
_cell_angle_gamma 60.00
loop_
_atom_site_label
_atom_site_type_symbol
_atom_site_fract_x
_atom_site_fract_y
_atom_site_fract_z
_atom_site_occupancy
Mg1 Mg 0.0000 0.0000 0.0000 1
Fe1 Fe 0.2500 0.2500 0.2500 1
As1 As 0.5000 0.5000 0.5000 1
As2 As 0.7500 0.7500 0.7500 1
```

Calculated values
For the calculated formation energy, the calculation gives 34.5 kJ per mole of atoms. Its total DFT energy (no corrections) is -17.93 eV/cell. As for the polymorph energy (0 for the lowest one): 507 meV/atom. Its space group is F-43m, No. 216.

=====

Record 8
The following is a PBE calculation of MgFeAs2 after structural relaxation, from Alexandria.

CIF file:
```
data_MgFeAs2
_chemical_formula_sum 'Mg1 Fe1 As2'
_symmetry_space_group_name_H-M 'P 1'
_symmetry_Int_Tables_number 1
_symmetry_space_group_name_Hall 'P 1'
_cell_length_a 2.9793
_cell_length_b 3.6653
_cell_length_c 7.1906
_cell_angle_alpha 90.00
_cell_angle_beta 90.00
_cell_angle_gamma 90.00
loop_
_atom_site_label
_atom_site_type_symbol
_atom_site_fract_x
_atom_site_fract_y
_atom_site_fract_z
_atom_site_occupancy
Mg1 Mg 0.0000 0.0000 0.0000 1
Fe1 Fe 0.5000 0.5000 0.5198 1
As1 As 0.0000 0.0000 0.6309 1
As2 As 0.5000 0.5000 0.1867 1
```

Calculated values
For the calculated formation energy, the calculation gives -2.9 kJ per mole of atoms. Its total DFT energy (no corrections) is -19.48 eV/cell. As for the polymorph energy (0 for the lowest one): 120 meV/atom. Its space group is Pmm2, No. 25.

=====

Record 9
The following is a PBE calculation of MgFeAs2 after structural relaxation, from Alexandria.

CIF file:
```
data_MgFeAs2
_chemical_formula_sum 'Mg1 Fe1 As2'
_symmetry_space_group_name_H-M 'P 1'
_symmetry_Int_Tables_number 1
_symmetry_space_group_name_Hall 'P 1'
_cell_length_a 4.4925
_cell_length_b 4.4925
_cell_length_c 3.3678
_cell_angle_alpha 90.28
_cell_angle_beta 90.28
_cell_angle_gamma 101.33
loop_
_atom_site_label
_atom_site_type_symbol
_atom_site_fract_x
_atom_site_fract_y
_atom_site_fract_z
_atom_site_occupancy
Mg1 Mg 0.0000 0.0000 0.0000 1
Fe1 Fe 0.5000 0.5000 0.0000 1
As1 As 0.0000 0.5000 0.5000 1
As2 As 0.5000 0.0000 0.5000 1
```

Calculated values
For the calculated formation energy, the calculation gives 7.4 kJ per mole of atoms. Its total DFT energy (no corrections) is -19.05 eV/cell. As for the polymorph energy (0 for the lowest one): 227 meV/atom. Its space group is C2/m, No. 12.

=====

Record 10
The following is a PBE calculation of MgFeAs2 after structural relaxation, from Alexandria.

CIF file:
```
data_MgFeAs2
_chemical_formula_sum 'Mg1 Fe1 As2'
_symmetry_space_group_name_H-M 'P 1'
_symmetry_Int_Tables_number 1
_symmetry_space_group_name_Hall 'P 1'
_cell_length_a 6.8374
_cell_length_b 6.8374
_cell_length_c 6.8374
_cell_angle_alpha 154.75
_cell_angle_beta 150.04
_cell_angle_gamma 39.57
loop_
_atom_site_label
_atom_site_type_symbol
_atom_site_fract_x
_atom_site_fract_y
_atom_site_fract_z
_atom_site_occupancy
Mg1 Mg 0.0000 0.0000 0.0000 1
Fe1 Fe 0.7667 0.2667 0.5000 1
As1 As 0.3373 0.8373 0.5000 1
As2 As 0.6212 0.6212 0.0000 1
```

Calculated values
For the calculated formation energy, the calculation gives -12.0 kJ per mole of atoms. Its total DFT energy (no corrections) is -19.85 eV/cell. As for the polymorph energy (0 for the lowest one): 26 meV/atom. Its space group is Imm2, No. 44.

=====

Record 11
The following is a PBE calculation of MgFeAs2 after structural relaxation, from Alexandria.

CIF file:
```
data_MgFeAs2
_chemical_formula_sum 'Mg1 Fe1 As2'
_symmetry_space_group_name_H-M 'P 1'
_symmetry_Int_Tables_number 1
_symmetry_space_group_name_Hall 'P 1'
_cell_length_a 3.4611
_cell_length_b 3.4611
_cell_length_c 5.9460
_cell_angle_alpha 90.00
_cell_angle_beta 90.00
_cell_angle_gamma 90.00
loop_
_atom_site_label
_atom_site_type_symbol
_atom_site_fract_x
_atom_site_fract_y
_atom_site_fract_z
_atom_site_occupancy
Mg1 Mg 0.0000 0.0000 0.0000 1
Fe1 Fe 0.5000 0.5000 0.6214 1
As1 As 0.0000 0.0000 0.5486 1
As2 As 0.5000 0.5000 0.2052 1
```

Calculated values
For the calculated formation energy, the calculation gives 1.6 kJ per mole of atoms. Its total DFT energy (no corrections) is -19.29 eV/cell. As for the polymorph energy (0 for the lowest one): 166 meV/atom. Its space group is P4mm, No. 99.

=====

Record 12
The following is a PBE calculation of MgFeAs2 after structural relaxation, from Alexandria.

CIF file:
```
data_MgFeAs2
_chemical_formula_sum 'Mg1 Fe1 As2'
_symmetry_space_group_name_H-M 'P 1'
_symmetry_Int_Tables_number 1
_symmetry_space_group_name_Hall 'P 1'
_cell_length_a 5.4522
_cell_length_b 5.4522
_cell_length_c 5.4522
_cell_angle_alpha 139.47
_cell_angle_beta 139.47
_cell_angle_gamma 58.65
loop_
_atom_site_label
_atom_site_type_symbol
_atom_site_fract_x
_atom_site_fract_y
_atom_site_fract_z
_atom_site_occupancy
Mg1 Mg 0.0000 0.0000 0.0000 1
Fe1 Fe 0.7500 0.2500 0.5000 1
As1 As 0.2500 0.7500 0.5000 1
As2 As 0.5000 0.5000 0.0000 1
```

Calculated values
For the calculated formation energy, the calculation gives 9.0 kJ per mole of atoms. Its total DFT energy (no corrections) is -18.98 eV/cell. As for the polymorph energy (0 for the lowest one): 244 meV/atom. Its space group is I-4m2, No. 119.